VASP calculation (PBE-GGA) on a relaxed Rb2LiTbI6 crystal.

Calculated values
- Raw total energy: -3.18 eV/atom
- Size of the total moment: 0.00 μB per formula unit
- ΔE_f (raw): -1.40 eV/atom

Unit cell a=8.3234 b=8.6064 c=14.4707 alpha=90.00 beta=124.91 gamma=90.00
Last column: nearest neighbours and their distance in Å.
Atoms (fractional coordinates):
Rb (0.2285, 0.0658, 0.2489)  8 I 3.73-4.07
Rb (0.2285, 0.4342, 0.7489)  8 I 3.73-4.07
Rb (0.7715, 0.5658, 0.2511)  8 I 3.73-4.07
Rb (0.7715, 0.9342, 0.7511)  8 I 3.73-4.07
Li (0.0000, 0.0000, 0.5000)  6 I 3.02-3.10
Li (0.0000, 0.5000, 0.0000)  6 I 3.02-3.10
Tb (0.5000, 0.0000, 0.0000)  6 I 3.05-3.06
Tb (0.5000, 0.5000, 0.5000)  6 I 3.05-3.06
I (0.1651, 0.2029, 0.9614)  1 Tb 3.06, 1 Li 3.10
I (0.1651, 0.2971, 0.4614)  1 Tb 3.06, 1 Li 3.10
I (0.2628, 0.7064, 0.9637)  1 Tb 3.06, 1 Li 3.09
I (0.2628, 0.7936, 0.4637)  1 Tb 3.06, 1 Li 3.09
I (0.3235, 0.0086, 0.7483)  1 Li 3.02, 1 Tb 3.05
I (0.3235, 0.4914, 0.2483)  1 Li 3.02, 1 Tb 3.05
I (0.6765, 0.5086, 0.7517)  1 Li 3.02, 1 Tb 3.05
I (0.6765, 0.9914, 0.2517)  1 Li 3.02, 1 Tb 3.05
I (0.7372, 0.2064, 0.5363)  1 Tb 3.06, 1 Li 3.09
I (0.7372, 0.2936, 0.0363)  1 Tb 3.06, 1 Li 3.09
I (0.8349, 0.7029, 0.5386)  1 Tb 3.06, 1 Li 3.10
I (0.8349, 0.7971, 0.0386)  1 Tb 3.06, 1 Li 3.10


VASP calculation (PBE-GGA) on a relaxed LiZrBe2As crystal.

Calculated values
- Raw total energy: -3.93 eV/atom
- Size of the total moment: 0.00 μB per formula unit
- Formation energy from the elements: 2.915 eV per formula unit

Unit cell a=3.9926 b=3.9926 c=4.7637 alpha=90.00 beta=90.00 gamma=90.00
Last column: nearest neighbours and their distance in Å.
Atoms (fractional coordinates):
Li (0.0000, 0.0000, 0.0000)  4 Be 2.00
Zr (0.0000, 0.0000, 0.5000)  2 Li 2.38
Be (0.0000, 0.5000, 0.0000)  2 Li 2.00
Be (0.5000, 0.0000, 0.0000)  2 Li 2.00
As (0.5000, 0.5000, 0.5000)  4 Zr 2.82, 8 Be 3.11


VASP calculation (PBE-GGA) on a relaxed Zr2InPt9 crystal.

Calculated values
- Raw total energy: -7.04 eV/atom
- Size of the total moment: 0.00 μB per formula unit
- Formation energy from the elements: -10.219 eV per formula unit

Unit cell a=4.0489 b=4.0489 c=12.1638 alpha=90.00 beta=90.00 gamma=90.00
Last column: nearest neighbours and their distance in Å.
Atoms (fractional coordinates):
Zr (0.0000, 0.0000, 0.1693)  12 Pt 2.82-2.89
Zr (0.0000, 0.0000, 0.8307)  12 Pt 2.82-2.89
In (0.0000, 0.0000, 0.5000)  12 Pt 2.86-2.89
Pt (0.0000, 0.5000, 0.0000)  8 Pt 2.86, 4 Zr 2.89
Pt (0.0000, 0.5000, 0.3301)  2 Zr 2.82, 8 Pt 2.84-2.89, 2 In 2.89
Pt (0.0000, 0.5000, 0.6699)  2 Zr 2.82, 8 Pt 2.84-2.89, 2 In 2.89
Pt (0.5000, 0.0000, 0.0000)  8 Pt 2.86, 4 Zr 2.89
Pt (0.5000, 0.0000, 0.3301)  2 Zr 2.82, 8 Pt 2.84-2.89, 2 In 2.89
Pt (0.5000, 0.0000, 0.6699)  2 Zr 2.82, 8 Pt 2.84-2.89, 2 In 2.89
Pt (0.5000, 0.5000, 0.1660)  8 Pt 2.84-2.86, 4 Zr 2.86
Pt (0.5000, 0.5000, 0.5000)  4 In 2.86, 8 Pt 2.89
Pt (0.5000, 0.5000, 0.8340)  8 Pt 2.84-2.86, 4 Zr 2.86


VASP calculation (PBE-GGA) on a relaxed La3US7 crystal.

Calculated values
- Raw total energy: -6.89 eV/atom
- Size of the total moment: 1.00 μB per formula unit
- ΔE_f (raw): -1.90 eV/atom

Unit cell a=8.1447 b=8.1447 c=9.6450 alpha=90.00 beta=90.00 gamma=110.61
Last column: nearest neighbours and their distance in Å.
Atoms (fractional coordinates):
La (0.0000, 0.0000, 0.0000)  8 S 2.95-3.18
La (0.0000, 0.0000, 0.5000)  8 S 2.95-3.18
La (0.0439, 0.4976, 0.7500)  7 S 2.82-3.01
La (0.4976, 0.0439, 0.2500)  7 S 2.82-3.01
La (0.5024, 0.9561, 0.7500)  7 S 2.82-3.01
La (0.9561, 0.5024, 0.2500)  7 S 2.82-3.01
U (0.5000, 0.5000, 0.0000)  6 S 2.60-2.62
U (0.5000, 0.5000, 0.5000)  6 S 2.60-2.62
S (0.1270, 0.8730, 0.2500)  4 La 2.84-2.95
S (0.1345, 0.8655, 0.7500)  4 La 2.82-3.01
S (0.1634, 0.4152, 0.0286)  1 U 2.60
S (0.1634, 0.4152, 0.4714)  1 U 2.60
S (0.4152, 0.1634, 0.5286)  1 U 2.60
S (0.4152, 0.1634, 0.9714)  1 U 2.60
S (0.4233, 0.5767, 0.7500)  2 U 2.62, 2 La 2.93
S (0.5767, 0.4233, 0.2500)  2 U 2.62, 2 La 2.93
S (0.5848, 0.8366, 0.0286)  1 U 2.60
S (0.5848, 0.8366, 0.4714)  1 U 2.60
S (0.8366, 0.5848, 0.5286)  1 U 2.60
S (0.8366, 0.5848, 0.9714)  1 U 2.60
S (0.8655, 0.1345, 0.2500)  4 La 2.82-3.01
S (0.8730, 0.1270, 0.7500)  4 La 2.84-2.95


Q: Which of these has the highest raw total energy?
A: Rb2LiTbI6